RuRh2: relaxed, PBE.

* DFT total energy: -45.67 eV/cell
* M_tot: 0.000 μB/atom
* distance to the lowest polymorph of the same formula: 8.52 kcal/mol of atoms
* SG: I4/mcm
* formation energy: 8.78 kcal/mol of atoms

Lattice parameters (Å, degrees): 4.927 4.927 4.927 105.54 105.54 117.65
Element x y z (fractional)
1 Ru 0.250 0.250 0.000
2 Ru 0.750 0.750 0.000
3 Rh 0.647 0.853 0.500
4 Rh 0.147 0.647 0.794
5 Rh 0.853 0.353 0.206
6 Rh 0.353 0.147 0.500


RuRh3: relaxed, PBE.

* DFT total energy: -23.84 eV/cell
* M_tot: 0.001 μB/atom
* SG: Pm-3m
* formation energy: 43.19 kcal/mol of atoms

Lattice parameters (Å, degrees): 4.690 4.690 4.690 90.00 90.00 90.00
Element x y z (fractional)
1 Rh 0.500 0.000 0.000
2 Rh 0.000 0.500 0.000
3 Rh 0.000 0.000 0.500
4 Ru 0.000 0.000 0.000


Ru2Rh3: relaxed, PBE.

* DFT total energy: -79.52 eV/cell
* M_tot: 0.000 μB/atom
* distance to the lowest polymorph of the same formula: 3.11 kcal/mol of atoms
* SG: Fdd2
* formation energy: 3.91 kcal/mol of atoms

Lattice parameters (Å, degrees): 8.076 7.097 5.102 81.12 60.25 38.63
Element x y z (fractional)
1 Rh 0.774 0.525 0.791
2 Rh 0.910 0.791 0.525
3 Rh 0.326 0.174 0.174
4 Rh 0.459 0.340 0.476
5 Rh 0.725 0.476 0.340
6 Rh 0.076 0.924 0.924
7 Ru 0.186 0.904 0.356
8 Ru 0.894 0.696 0.064
9 Ru 0.554 0.356 0.904
10 Ru 0.346 0.064 0.696


RuRh3: relaxed, PBE.

* DFT total energy: -62.33 eV/cell
* M_tot: 0.000 μB/atom
* SG: Pmmn
* formation energy: 0.94 kcal/mol of atoms

Lattice parameters (Å, degrees): 5.457 4.373 4.734 90.00 90.00 90.00
Element x y z (fractional)
1 Rh 0.500 0.000 0.662
2 Rh 0.751 0.000 0.166
3 Rh 0.749 0.500 0.834
4 Rh 0.251 0.500 0.834
5 Rh 0.249 0.000 0.166
6 Rh 0.000 0.500 0.338
7 Ru 0.500 0.500 0.331
8 Ru 0.000 0.000 0.669


Ru5Rh3: relaxed, PBE.

* DFT total energy: -67.98 eV/cell
* M_tot: 0.000 μB/atom
* distance to the lowest polymorph of the same formula: 1.17 kcal/mol of atoms
* SG: Cmmm
* formation energy: 1.30 kcal/mol of atoms

Lattice parameters (Å, degrees): 5.399 5.399 3.842 90.00 90.00 90.30
Element x y z (fractional)
1 Rh 0.751 0.751 0.500
2 Rh 0.500 0.500 0.000
3 Rh 0.249 0.249 0.500
4 Ru 0.751 0.249 0.500
5 Ru 0.249 0.751 0.500
6 Ru 0.000 0.500 0.000
7 Ru 0.500 0.000 0.000
8 Ru 0.000 0.000 0.000


RuRh3: relaxed, PBE.

* DFT total energy: -31.15 eV/cell
* M_tot: 0.000 μB/atom
* SG: Pm-3m
* formation energy: 1.02 kcal/mol of atoms

Lattice parameters (Å, degrees): 3.835 3.835 3.835 90.00 90.00 90.00
Element x y z (fractional)
1 Rh 0.000 0.000 0.000
2 Rh 0.500 0.000 0.500
3 Rh 0.000 0.500 0.500
4 Ru 0.500 0.500 0.000


Ru2Rh: relaxed, PBE.

* DFT total energy: -76.56 eV/cell
* M_tot: 0.000 μB/atom
* distance to the lowest polymorph of the same formula: 3.08 kcal/mol of atoms
* SG: P-62m
* formation energy: 2.94 kcal/mol of atoms

Lattice parameters (Å, degrees): 7.363 7.363 2.703 90.00 90.00 120.00
Element x y z (fractional)
1 Ru 0.303 0.000 0.000
2 Ru 0.000 0.641 0.500
3 Ru 0.000 0.303 0.000
4 Ru 0.641 0.000 0.500
5 Ru 0.359 0.359 0.500
6 Ru 0.697 0.697 0.000
7 Rh 0.667 0.333 0.000
8 Rh 0.333 0.667 0.000
9 Rh 0.000 0.000 0.500


RuRh3: relaxed, PBE.

* DFT total energy: -31.19 eV/cell
* M_tot: 0.000 μB/atom
* SG: Cmmm
* formation energy: 0.79 kcal/mol of atoms

Lattice parameters (Å, degrees): 4.699 4.699 2.711 90.00 90.00 109.67
Element x y z (fractional)
1 Rh 0.000 0.000 0.000
2 Rh 0.000 0.500 0.500
3 Rh 0.500 0.000 0.500
4 Ru 0.500 0.500 0.000


RuRh2: relaxed, PBE.

* DFT total energy: -23.95 eV/cell
* M_tot: 0.000 μB/atom
* distance to the lowest polymorph of the same formula: 0.00 kcal/mol of atoms
* SG: I4/mmm
* formation energy: 0.26 kcal/mol of atoms

Lattice parameters (Å, degrees): 6.079 6.079 6.079 154.28 154.28 36.69
Element x y z (fractional)
1 Rh 0.671 0.671 0.000
2 Rh 0.996 0.996 0.000
3 Ru 0.333 0.333 0.000


Ru4Rh5: relaxed, PBE.

* DFT total energy: -142.74 eV/cell
* M_tot: 0.001 μB/atom
* distance to the lowest polymorph of the same formula: 5.68 kcal/mol of atoms
* SG: P6_3/mcm
* formation energy: 6.38 kcal/mol of atoms

Lattice parameters (Å, degrees): 7.493 7.493 5.337 90.00 90.00 60.00
Element x y z (fractional)
1 Rh 0.331 0.000 0.750
2 Rh 0.331 0.669 0.250
3 Rh 0.669 0.000 0.250
4 Rh 0.667 0.667 0.000
5 Rh 0.669 0.331 0.750
6 Rh 0.667 0.667 0.500
7 Rh 0.333 0.333 0.000
8 Rh 0.000 0.331 0.250
9 Rh 0.333 0.333 0.500
10 Rh 0.000 0.669 0.750
11 Ru 0.668 0.000 0.750
12 Ru 0.332 0.668 0.750
13 Ru 0.668 0.332 0.250
14 Ru 0.332 0.000 0.250
15 Ru 0.000 0.000 0.500
16 Ru 0.000 0.332 0.750
17 Ru 0.000 0.000 0.000
18 Ru 0.000 0.668 0.250


RuRh3: relaxed, PBE.

* DFT total energy: -29.60 eV/cell
* M_tot: 0.593 μB/atom
* SG: R-3m
* formation energy: 9.97 kcal/mol of atoms

Lattice parameters (Å, degrees): 5.092 5.092 5.092 116.96 116.96 116.96
Each line ends with the local moment (μB).
Element x y z (fractional)
1 Rh 0.000 0.000 0.000  0.42
2 Rh 0.500 0.500 0.000  0.42
3 Rh 0.000 0.500 0.500  0.42
4 Ru 0.500 0.000 0.500  1.09


RuRh7: relaxed, PBE.

* DFT total energy: -60.58 eV/cell
* M_tot: 0.000 μB/atom
* SG: Fm-3m
* formation energy: 0.45 kcal/mol of atoms

Lattice parameters (Å, degrees): 5.428 5.428 5.428 60.00 60.00 60.00
Element x y z (fractional)
1 Rh 0.000 0.000 0.500
2 Rh 0.500 0.000 0.000
3 Rh 0.500 0.500 0.000
4 Rh 0.500 0.500 0.500
5 Rh 0.000 0.500 0.500
6 Rh 0.000 0.500 0.000
7 Rh 0.500 0.000 0.500
8 Ru 0.000 0.000 0.000


RuRh2: relaxed, PBE.

* DFT total energy: -44.72 eV/cell
* M_tot: 0.000 μB/atom
* distance to the lowest polymorph of the same formula: 12.17 kcal/mol of atoms
* SG: Fd-3m
* formation energy: 12.43 kcal/mol of atoms

Lattice parameters (Å, degrees): 5.023 5.023 5.023 60.00 60.00 60.00
Element x y z (fractional)
1 Rh 0.625 0.125 0.125
2 Rh 0.125 0.125 0.125
3 Rh 0.125 0.125 0.625
4 Rh 0.125 0.625 0.125
5 Ru 0.500 0.500 0.500
6 Ru 0.750 0.750 0.750


Ru4Rh5: relaxed, PBE.

* DFT total energy: -73.59 eV/cell
* M_tot: 0.000 μB/atom
* distance to the lowest polymorph of the same formula: 0.00 kcal/mol of atoms
* SG: I4/mmm
* formation energy: 0.70 kcal/mol of atoms

Lattice parameters (Å, degrees): 8.144 8.144 6.067 47.84 47.84 90.00
Element x y z (fractional)
1 Ru 0.000 0.660 0.000
2 Ru 0.340 0.000 0.000
3 Ru 0.660 0.000 0.000
4 Ru 0.000 0.340 0.000
5 Rh 0.668 0.668 0.000
6 Rh 0.332 0.668 0.000
7 Rh 0.000 0.000 0.000
8 Rh 0.668 0.332 0.000
9 Rh 0.332 0.332 0.000


RuRh3: relaxed, PBE.

* DFT total energy: -31.24 eV/cell
* M_tot: 0.000 μB/atom
* SG: P-6m2
* formation energy: 0.53 kcal/mol of atoms

Lattice parameters (Å, degrees): 2.729 2.729 8.767 90.00 90.00 120.00
Element x y z (fractional)
1 Ru 0.333 0.667 0.750
2 Rh 0.000 0.000 0.505
3 Rh 0.333 0.667 0.250
4 Rh 0.000 0.000 0.995


Ru2Rh: relaxed, PBE.

* DFT total energy: -50.05 eV/cell
* M_tot: 0.000 μB/atom
* distance to the lowest polymorph of the same formula: 6.87 kcal/mol of atoms
* SG: I4_1/amd
* formation energy: 6.74 kcal/mol of atoms

Lattice parameters (Å, degrees): 12.164 12.164 12.164 167.28 167.28 18.02
Element x y z (fractional)
1 Ru 0.580 0.580 0.000
2 Ru 0.330 0.830 0.500
3 Ru 0.170 0.670 0.500
4 Ru 0.420 0.420 0.000
5 Rh 0.750 0.250 0.500
6 Rh 0.000 0.000 0.000


Ru2Rh: relaxed, PBE.

* DFT total energy: -22.81 eV/cell
* M_tot: 0.001 μB/atom
* distance to the lowest polymorph of the same formula: 23.92 kcal/mol of atoms
* SG: P4/mmm
* formation energy: 23.78 kcal/mol of atoms

Lattice parameters (Å, degrees): 4.413 4.413 2.646 90.00 90.00 90.00
Element x y z (fractional)
1 Rh 0.000 0.000 0.000
2 Ru 0.000 0.500 0.500
3 Ru 0.500 0.000 0.500


RuRh2: relaxed, PBE.

* DFT total energy: -47.05 eV/cell
* M_tot: 0.000 μB/atom
* distance to the lowest polymorph of the same formula: 3.24 kcal/mol of atoms
* SG: I4_1/amd
* formation energy: 3.50 kcal/mol of atoms

Lattice parameters (Å, degrees): 12.144 12.144 12.144 167.21 167.21 18.13
Element x y z (fractional)
1 Rh 0.173 0.673 0.500
2 Rh 0.577 0.577 0.000
3 Rh 0.327 0.827 0.500
4 Rh 0.423 0.423 0.000
5 Ru 0.750 0.250 0.500
6 Ru 0.000 0.000 0.000


Ru2Rh: relaxed, PBE.

* DFT total energy: -23.13 eV/cell
* M_tot: 0.000 μB/atom
* distance to the lowest polymorph of the same formula: 21.42 kcal/mol of atoms
* SG: P-3m1
* formation energy: 21.29 kcal/mol of atoms

Lattice parameters (Å, degrees): 3.490 3.490 4.662 90.00 90.00 120.00
Element x y z (fractional)
1 Rh 0.000 0.000 0.000
2 Ru 0.667 0.333 0.636
3 Ru 0.333 0.667 0.364


Ru2Rh: relaxed, PBE.

* DFT total energy: -25.08 eV/cell
* M_tot: 0.000 μB/atom
* distance to the lowest polymorph of the same formula: 6.48 kcal/mol of atoms
* SG: P6/mmm
* formation energy: 6.34 kcal/mol of atoms

Lattice parameters (Å, degrees): 4.310 4.310 2.680 90.00 90.00 120.00
Element x y z (fractional)
1 Ru 0.667 0.333 0.000
2 Ru 0.333 0.667 0.000
3 Rh 0.000 0.000 0.500


Ru2Rh: relaxed, PBE.

* DFT total energy: -25.72 eV/cell
* M_tot: 0.000 μB/atom
* distance to the lowest polymorph of the same formula: 1.52 kcal/mol of atoms
* SG: P-3m1
* formation energy: 1.39 kcal/mol of atoms

Lattice parameters (Å, degrees): 2.706 2.706 6.641 90.00 90.00 120.00
Element x y z (fractional)
1 Ru 0.667 0.333 0.341
2 Ru 0.333 0.667 0.659
3 Rh 0.000 0.000 0.000


RuRh2: relaxed, PBE.

* DFT total energy: -21.69 eV/cell
* M_tot: 0.000 μB/atom
* distance to the lowest polymorph of the same formula: 17.33 kcal/mol of atoms
* SG: P4/mmm
* formation energy: 17.59 kcal/mol of atoms

Lattice parameters (Å, degrees): 4.331 4.331 2.743 90.00 90.00 90.00
Element x y z (fractional)
1 Rh 0.500 0.000 0.500
2 Rh 0.000 0.500 0.500
3 Ru 0.000 0.000 0.000


RuRh2: relaxed, PBE.

* DFT total energy: -23.91 eV/cell
* M_tot: 0.000 μB/atom
* distance to the lowest polymorph of the same formula: 0.26 kcal/mol of atoms
* SG: Immm
* formation energy: 0.52 kcal/mol of atoms

Lattice parameters (Å, degrees): 2.712 3.825 4.696 114.03 106.78 90.00
Element x y z (fractional)
1 Rh 0.664 0.664 0.328
2 Rh 0.336 0.336 0.672
3 Ru 0.000 0.000 0.000


RuRh2: relaxed, PBE.

* DFT total energy: -95.55 eV/cell
* M_tot: 0.000 μB/atom
* distance to the lowest polymorph of the same formula: 0.45 kcal/mol of atoms
* SG: I4_1/amd
* formation energy: 0.71 kcal/mol of atoms

Lattice parameters (Å, degrees): 3.836 3.836 11.800 99.35 99.35 90.00
Element x y z (fractional)
1 Rh 0.251 0.251 0.502
2 Rh 0.834 0.334 0.668
3 Rh 0.501 0.001 0.002
4 Rh 0.749 0.749 0.498
5 Rh 0.416 0.416 0.832
6 Rh 0.999 0.499 0.998
7 Rh 0.666 0.166 0.332
8 Rh 0.584 0.584 0.168
9 Ru 0.165 0.665 0.329
10 Ru 0.085 0.085 0.171
11 Ru 0.335 0.835 0.671
12 Ru 0.915 0.915 0.829


Ru4Rh: relaxed, PBE.

* DFT total energy: -33.53 eV/cell
* M_tot: 1.031 μB/atom
* distance to the lowest polymorph of the same formula: 48.51 kcal/mol of atoms
* SG: Pm-3m
* formation energy: 50.38 kcal/mol of atoms

Lattice parameters (Å, degrees): 4.609 4.609 4.609 90.00 90.00 90.00
Each line ends with the local moment (μB).
Element x y z (fractional)
1 Ru 0.000 0.500 0.500  0.95
2 Ru 0.500 0.000 0.500  0.95
3 Ru 0.000 0.000 0.000  2.13
4 Ru 0.500 0.500 0.000  0.95
5 Rh 0.500 0.500 0.500  0.05


RuRh3: relaxed, PBE.

* DFT total energy: -29.70 eV/cell
* M_tot: 0.603 μB/atom
* SG: Fm-3m
* formation energy: 9.41 kcal/mol of atoms

Lattice parameters (Å, degrees): 4.356 4.356 4.356 60.00 60.00 60.00
Each line ends with the local moment (μB).
Element x y z (fractional)
1 Rh 0.750 0.750 0.750  0.11
2 Rh 0.500 0.500 0.500  0.60
3 Rh 0.000 0.000 0.000  0.60
4 Ru 0.250 0.250 0.250  1.09


RuRh4: relaxed, PBE.

* DFT total energy: -38.59 eV/cell
* M_tot: 0.000 μB/atom
* distance to the lowest polymorph of the same formula: 0.00 kcal/mol of atoms
* SG: I4/m
* formation energy: 0.41 kcal/mol of atoms

Lattice parameters (Å, degrees): 6.069 6.069 4.699 49.78 49.78 90.00
Element x y z (fractional)
1 Rh 0.602 0.202 0.000
2 Rh 0.398 0.798 0.000
3 Rh 0.202 0.398 0.000
4 Rh 0.798 0.602 0.000
5 Ru 0.000 0.000 0.000